[1]
Here is crystalline Dy6C2S3Cl at its relaxed geometry from Alexandria. Energies are from GGA-PBE.

abc: 3.755 7.799 8.535
angles: 102.39 102.71 90.00
Element x y z (fractional)
Dy: 0.324 0.872 0.647
Dy: 0.675 0.564 0.350
Dy: 0.676 0.128 0.353
Dy: 0.020 0.277 0.039
Dy: 0.980 0.723 0.961
Dy: 0.325 0.436 0.650
C: 0.831 0.667 0.663
C: 0.169 0.333 0.337
S: 0.500 0.500 0.000
S: 0.842 0.162 0.683
S: 0.158 0.838 0.317
Cl: 0.500 0.000 0.000

Summary:
For the total energy, the calculation gives -77.7 eV/cell. As for the calculated volume: 237.9 Å³ per cell.

[2]
Here is crystalline DyScCCl at its relaxed geometry from Alexandria. Energies are from GGA-PBE.

abc: 3.478 3.478 7.677
angles: 77.20 77.17 59.98
Element x y z (fractional)
Dy: 0.701 0.964 0.593
Sc: 0.573 0.835 0.966
C: 0.955 0.218 0.820
Cl: 0.455 0.717 0.325

Summary:
For the total energy, the calculation gives -24.9 eV/cell. As for the calculated volume: 77.7 Å³ per cell.

[3]
Here is crystalline Dy6C3Se2Cl at its relaxed geometry from Alexandria. Energies are from GGA-PBE.

abc: 3.734 7.905 8.739
angles: 107.57 102.33 90.00
Element x y z (fractional)
Dy: 0.321 0.944 0.641
Dy: 0.657 0.608 0.314
Dy: 0.679 0.056 0.359
Dy: 0.988 0.283 0.975
Dy: 0.012 0.717 0.025
Dy: 0.343 0.392 0.686
C: 0.500 0.500 0.000
C: 0.834 0.166 0.667
C: 0.166 0.834 0.333
Se: 0.837 0.673 0.673
Se: 0.163 0.327 0.327
Cl: 0.500 0.000 0.000

Summary:
For the total energy, the calculation gives -78.2 eV/cell. As for the calculated volume: 239.6 Å³ per cell.

[4]
Here is crystalline Dy4Te2CCl at its relaxed geometry from Alexandria. Energies are from GGA-PBE.

abc: 3.945 7.273 7.041
angles: 72.07 90.00 90.00
Element x y z (fractional)
Dy: 0.000 0.702 0.726
Dy: 0.000 0.298 0.274
Dy: 0.500 0.692 0.300
Dy: 0.500 0.308 0.700
Te: 0.000 0.000 0.000
Te: 0.500 0.000 0.500
C: 0.000 0.500 0.500
Cl: 0.500 0.500 0.000

Summary:
For the total energy, the calculation gives -44.6 eV/cell. As for the calculated volume: 192.2 Å³ per cell.

[5]
Here is crystalline DyThCCl at its relaxed geometry from Alexandria. Energies are from GGA-PBE.

abc: 3.611 3.618 7.637
angles: 89.98 103.60 120.20
Element x y z (fractional)
Dy: 0.508 0.152 0.675
Th: 0.093 0.945 0.053
C: 0.293 0.544 0.854
Cl: 0.983 0.390 0.388

Summary:
For the total energy, the calculation gives -27.2 eV/cell. As for the calculated volume: 83.0 Å³ per cell.

[6]
Here is crystalline DyYCCl at its relaxed geometry from Alexandria. Energies are from GGA-PBE.

abc: 3.640 3.640 7.204
angles: 90.00 104.64 120.00
Element x y z (fractional)
Dy: 0.093 0.945 0.053
Y: 0.511 0.153 0.679
C: 0.307 0.551 0.874
Cl: 0.967 0.381 0.363

Summary:
For the total energy, the calculation gives -26.5 eV/cell. As for the calculated volume: 79.1 Å³ per cell.

[7]
Here is crystalline Er3CCl3 at its relaxed geometry from Alexandria. Energies are from GGA-PBE.

abc: 3.666 7.850 10.692
angles: 92.51 90.00 90.00
Element x y z (fractional)
Er: 0.250 0.321 0.624
Er: 0.750 0.679 0.376
Er: 0.250 0.911 0.609
Er: 0.750 0.089 0.391
Er: 0.250 0.875 0.160
Er: 0.750 0.125 0.840
C: 0.250 0.874 0.378
C: 0.750 0.126 0.622
Cl: 0.250 0.379 0.372
Cl: 0.750 0.621 0.628
Cl: 0.250 0.874 0.877
Cl: 0.750 0.126 0.123
Cl: 0.250 0.375 0.875
Cl: 0.750 0.625 0.125

Summary:
For the total energy, the calculation gives -78.3 eV/cell. As for the calculated volume: 307.3 Å³ per cell.

[8]
Here is crystalline Er3C2Cl at its relaxed geometry from Alexandria. Energies are from GGA-PBE.

abc: 3.617 6.498 10.508
angles: 65.41 90.00 106.16
Element x y z (fractional)
Er: 0.664 0.328 0.931
Er: 0.974 0.948 0.775
Er: 0.640 0.280 0.404
Er: 0.026 0.052 0.225
Er: 0.336 0.672 0.069
Er: 0.360 0.720 0.596
C: 0.000 0.000 0.000
C: 0.000 0.000 0.500
C: 0.666 0.332 0.167
C: 0.334 0.668 0.833
Cl: 0.329 0.658 0.343
Cl: 0.671 0.342 0.657

Summary:
For the total energy, the calculation gives -78.1 eV/cell. As for the calculated volume: 213.8 Å³ per cell.

[9]
Here is crystalline Er6C3Cl2 at its relaxed geometry from Alexandria. Energies are from GGA-PBE.

abc: 6.287 6.283 6.696
angles: 80.99 71.77 59.98
Element x y z (fractional)
Er: 0.400 0.673 0.800
Er: 0.727 0.000 0.798
Er: 0.073 0.327 0.800
Er: 0.273 0.000 0.202
Er: 0.600 0.327 0.200
Er: 0.927 0.673 0.200
C: 0.000 0.000 0.000
C: 0.332 0.337 0.000
C: 0.668 0.663 0.000
Cl: 0.167 0.666 0.500
Cl: 0.833 0.334 0.500

Summary:
For the total energy, the calculation gives -68.6 eV/cell. As for the calculated volume: 217.5 Å³ per cell.

[10]
Here is crystalline HoErCCl at its relaxed geometry from Alexandria. Energies are from GGA-PBE.

abc: 3.603 3.603 7.133
angles: 90.00 104.62 120.00
Element x y z (fractional)
Ho: 0.511 0.154 0.680
Er: 0.093 0.945 0.053
C: 0.307 0.552 0.874
Cl: 0.966 0.381 0.362

Summary:
For the total energy, the calculation gives -24.6 eV/cell. As for the calculated volume: 76.7 Å³ per cell.

[11]
Here is crystalline La2ErC2Cl2 at its relaxed geometry from Alexandria. Energies are from GGA-PBE.

abc: 4.555 4.555 8.131
angles: 106.26 106.26 90.00
Element x y z (fractional)
La: 0.395 0.395 0.789
La: 0.605 0.605 0.211
Er: 0.000 0.000 0.000
C: 0.000 0.500 0.000
C: 0.500 0.000 0.000
Cl: 0.189 0.189 0.379
Cl: 0.811 0.811 0.621

Summary:
For the total energy, the calculation gives -43.0 eV/cell. As for the calculated volume: 154.9 Å³ per cell.

[12]
Here is crystalline Nd2ErC2Cl2 at its relaxed geometry from Alexandria. Energies are from GGA-PBE.

abc: 4.523 4.523 8.002
angles: 106.42 106.42 90.00
Element x y z (fractional)
Nd: 0.394 0.394 0.789
Nd: 0.606 0.606 0.211
Er: 0.000 0.000 0.000
C: 0.000 0.500 0.000
C: 0.500 0.000 0.000
Cl: 0.193 0.193 0.385
Cl: 0.807 0.807 0.615

Summary:
For the total energy, the calculation gives -41.9 eV/cell. As for the calculated volume: 150.0 Å³ per cell.

no.,raw formation energy (eV/f.u.)
1,-17.4
2,-2.9
3,-14.1
4,-8.9
5,-4.1
6,-4.3
7,-10.7
8,-5.1
9,-9.8
10,-4.4
11,-6.4
12,-5.6